1.
Er5Te2C: relaxed, GGA-PBE.

a = 5.3727 Å, b = 7.8583 Å, c = 12.4765 Å
α = 90.00°, β = 90.00°, γ = 109.99°
Last column: nearest neighbours and their distance in Å.
Sites, in units of the cell vectors:
1 Te 0.8618 0.7236 0.3979  6 Er 2.90-3.25
2 Te 0.8618 0.7236 0.1021  6 Er 2.90-3.25
3 Te 0.1382 0.2764 0.8979  6 Er 2.90-3.25
4 Te 0.1382 0.2764 0.6021  6 Er 2.90-3.25
5 Er 0.9270 0.8541 0.6243  1 C 2.32
6 Er 0.7110 0.4220 0.5873  1 C 2.52
7 Er 0.7110 0.4220 0.9127  1 C 2.52
8 Er 0.0730 0.1459 0.1243  1 C 2.32
9 Er 0.3078 0.6156 0.7500  2 C 2.69
10 Er 0.2890 0.5780 0.4127  1 C 2.52
11 Er 0.6922 0.3844 0.2500  2 C 2.69
12 Er 0.0730 0.1459 0.3757  1 C 2.32
13 Er 0.2890 0.5780 0.0873  1 C 2.52
14 Er 0.9270 0.8541 0.8757  1 C 2.32
15 C 0.8116 0.6233 0.7500  4 Er 2.32-2.52
16 C 0.1884 0.3767 0.2500  4 Er 2.32-2.52

The calculation puts the formation energy without anion corrections at -391 meV/atom. The volume comes out at 495.0 Å³ per cell.

***

2.
LaHo3Ru3: relaxed, GGA-PBE.

a = 5.8748 Å, b = 5.8759 Å, c = 5.8748 Å
α = 109.48°, β = 109.47°, γ = 109.48°
Last column: nearest neighbours and their distance in Å.
Sites, in units of the cell vectors:
1 La 0.0000 0.4139 0.0000  3 Ru 2.76
2 Ho 0.0000 0.0017 0.4156  6 Ru 2.82-3.13
3 Ho 0.5844 0.5861 0.5844  6 Ru 2.82-3.13
4 Ho 0.4156 0.0017 0.0000  6 Ru 2.82-3.13
5 Ru 0.0000 0.5048 0.4929  1 La 2.76, 3 Ho 2.82-2.84
6 Ru 0.5071 0.0119 0.5071  1 La 2.76, 3 Ho 2.82-2.84
7 Ru 0.4929 0.5048 0.0000  1 La 2.76, 3 Ho 2.82-2.84

For the formation energy, the calculation gives -0.34 eV/atom. The volume comes out at 156.1 Å³ per cell.

***

3.
Zr4Bi5H2: relaxed, GGA-PBE.

a = 3.3219 Å, b = 9.0441 Å, c = 8.6985 Å
α = 94.90°, β = 101.01°, γ = 90.00°
Last column: nearest neighbours and their distance in Å.
Sites, in units of the cell vectors:
1 Zr 0.6531 0.5675 0.3061  1 H 2.00
2 Zr 0.0069 0.3111 0.0138  2 H 2.01
3 Zr 0.3469 0.4325 0.6939  1 H 2.00
4 Zr 0.9931 0.6889 0.9862  2 H 2.01
5 Bi 0.1609 0.8714 0.3217  3 Zr 3.18-3.20, 4 Bi 3.32-3.49, 2 H 3.46
6 Bi 0.8391 0.1286 0.6783  3 Zr 3.18-3.20, 4 Bi 3.32-3.49, 2 H 3.46
7 Bi 0.5000 0.0000 0.0000  4 Zr 3.26, 6 Bi 3.32-3.49
8 Bi 0.8203 0.7142 0.6407  4 Zr 2.98-3.11, 2 Bi 3.32
9 Bi 0.1797 0.2858 0.3593  4 Zr 2.98-3.11, 2 Bi 3.32
10 H 0.5395 0.6055 0.0790  3 Zr 2.00-2.01
11 H 0.4605 0.3945 0.9210  3 Zr 2.00-2.01

The total energy comes out at -5.6688 eV/atom. The volume comes out at 255.6 Å³ per cell.